# 1
VASP calculation (GGA-PBE) on crystalline TbTlCrCl6 at its relaxed geometry.

Cell: 6.9980 6.6788 7.1800 Å, 88.37 86.88 58.41°
Closest atoms and distances in Å follow each position.
Fractional coordinates of all 9 atoms:
Tb 0.3230 0.3539 0.5000  6 Cl 2.60-2.72
Tl 0.9982 0.0035 0.0000  6 Cl 3.15-3.39
Cr 0.6643 0.6714 0.5000  4 Cl 2.40-2.41
Cl 0.9844 0.3793 0.3158  1 Cr 2.41
Cl 0.3860 0.9758 0.7022  1 Cr 2.40
Cl 0.6362 0.3794 0.6843  1 Cr 2.41
Cl 0.0037 0.6306 0.7382  1 Tb 2.60, 1 Cr 2.89
Cl 0.3658 0.6304 0.2616  1 Tb 2.60, 1 Cr 2.90
Cl 0.6381 0.9757 0.2978  1 Cr 2.40

Output
SG ... C2, No. 5
E_tot ... -41.77 eV for the cell shown
M_tot ... 4.00 μB per formula unit
Formation energy from raw total energies ... -1.5636 eV/atom

---

# 2
VASP calculation (GGA-PBE) on crystalline Cr2TcCl at its relaxed geometry.

Cell: 2.8445 2.8445 8.1656 Å, 90.00 90.00 115.97°
Closest atoms and distances in Å follow each position.
Fractional coordinates of all 4 atoms:
Cr 0.0000 0.0000 0.0098  2 Cl 2.41, 2 Cr 2.42
Cr 0.5000 0.5000 0.2423  2 Tc 2.39, 2 Cr 2.42
Tc 0.0000 0.0000 0.4689  2 Cr 2.39
Cl 0.5000 0.5000 0.7790  2 Cr 2.41

Output
SG ... Cmm2, No. 35
E_tot ... -29.71 eV for the cell shown
M_tot ... 1.86 μB per formula unit
Formation energy from raw total energies ... 0.4378 eV/atom

---

# 3
VASP calculation (GGA-PBE) on crystalline Cr2TcCl at its relaxed geometry.

Cell: 4.2224 4.2224 4.2224 Å, 60.00 60.00 60.00°
Closest atoms and distances in Å follow each position.
Fractional coordinates of all 4 atoms:
Cr 0.2500 0.2500 0.2500  4 Tc 2.59, 4 Cl 2.59
Cr 0.7500 0.7500 0.7500  4 Tc 2.59, 4 Cl 2.59
Tc 0.5000 0.5000 0.5000  8 Cr 2.59
Cl 0.0000 0.0000 0.0000  8 Cr 2.59

Output
SG ... Fm-3m, No. 225
E_tot ... -27.49 eV for the cell shown
M_tot ... 0.01 μB per formula unit
Formation energy from raw total energies ... 0.9924 eV/atom

---

# 4
VASP calculation (GGA-PBE) on crystalline Cr2TcCl at its relaxed geometry.

Cell: 4.9459 4.9459 4.9459 Å, 147.21 128.78 62.15°
Closest atoms and distances in Å follow each position.
Fractional coordinates of all 4 atoms:
Cr 0.0234 0.0234 0.0000  2 Cl 2.37, 4 Cr 2.58
Cr 0.4766 0.4766 0.0000  2 Cl 2.37, 4 Cr 2.58
Tc 0.7500 0.2500 0.5000  4 Cl 2.55, 4 Cr 2.70, 2 Tc 2.79
Cl 0.2500 0.7500 0.5000  4 Cr 2.37, 4 Tc 2.55

Output
SG ... Immm, No. 71
E_tot ... -28.98 eV for the cell shown
M_tot ... 0.00 μB per formula unit
Formation energy from raw total energies ... 0.6204 eV/atom